[1]
An optimized crystal structure of La12Al3Ge5. Source: the Alexandria database, functional PBE.

Values from the calculation:
symmetry: Ia-3d (230)

a = 15.6571 Å, b = 15.6571 Å, c = 15.6571 Å
α = 109.47°, β = 109.47°, γ = 109.47°
Last column: nearest neighbours and their distance in Å.
Atoms (fractional coordinates):
La 0.2190 0.5476 0.6293  2 Ge 2.88-3.01
Al 0.3750 0.6250 0.2500  8 La 3.33-3.43
La 0.0476 0.6293 0.7190  2 Ge 2.88-3.01
La 0.7190 0.5898 0.1714  2 Ge 2.88-3.01
La 0.6714 0.2190 0.5898  2 Ge 2.88-3.01
La 0.1714 0.0898 0.7190  2 Ge 2.88-3.01
La 0.5816 0.9524 0.6714  2 Ge 2.88-3.01
Al 0.7500 0.8750 0.6250  8 La 3.33-3.43
Al 0.3750 0.7500 0.6250  8 La 3.33-3.43
La 0.0476 0.4184 0.8286  2 Ge 2.88-3.01
La 0.0898 0.9184 0.3707  2 Ge 2.88-3.01
La 0.5898 0.7190 0.6714  2 Ge 2.88-3.01
La 0.4102 0.1293 0.5816  2 Ge 2.88-3.01
Ge 0.6250 0.7500 0.8750  4 La 2.88
La 0.4184 0.0476 0.3286  2 Ge 2.88-3.01
La 0.3707 0.4184 0.0898  2 Ge 2.88-3.01
Al 0.2500 0.1250 0.3750  8 La 3.33-3.43
Ge 0.0000 0.5000 0.5000  6 La 3.01
Al 0.1250 0.8750 0.7500  8 La 3.33-3.43
Ge 0.0000 0.0000 0.0000  6 La 3.01
La 0.8286 0.9102 0.2810  2 Ge 2.88-3.01
La 0.9184 0.0898 0.8707  2 Ge 2.88-3.01
Ge 0.8750 0.2500 0.6250  4 La 2.88
Ge 0.5000 0.5000 0.0000  6 La 3.01
La 0.8707 0.2810 0.4524  2 Ge 2.88-3.01
Ge 0.7500 0.6250 0.3750  4 La 2.88
La 0.5898 0.8707 0.4184  2 Ge 2.88-3.01
La 0.0898 0.1714 0.2190  2 Ge 2.88-3.01
Ge 0.0000 0.0000 0.5000  6 La 3.01
Ge 0.7500 0.1250 0.8750  4 La 2.88
Al 0.6250 0.2500 0.3750  8 La 3.33-3.43
Ge 0.5000 0.5000 0.5000  6 La 3.01
La 0.3707 0.9524 0.7810  2 Ge 2.88-3.01
La 0.2810 0.8707 0.9524  2 Ge 2.88-3.01
Al 0.1250 0.2500 0.8750  8 La 3.33-3.43
La 0.2190 0.6714 0.0898  2 Ge 2.88-3.01
La 0.3286 0.7810 0.4102  2 Ge 2.88-3.01
La 0.9102 0.0816 0.6293  2 Ge 2.88-3.01
La 0.4102 0.2810 0.3286  2 Ge 2.88-3.01
Ge 0.0000 0.5000 0.0000  6 La 3.01
La 0.7810 0.4524 0.3707  2 Ge 2.88-3.01
Al 0.7500 0.3750 0.1250  8 La 3.33-3.43
La 0.2810 0.4102 0.8286  2 Ge 2.88-3.01
La 0.8707 0.5898 0.9184  2 Ge 2.88-3.01
Ge 0.6250 0.8750 0.2500  4 La 2.88
La 0.0816 0.1714 0.4524  2 Ge 2.88-3.01
La 0.5476 0.3286 0.9184  2 Ge 2.88-3.01
La 0.6293 0.5816 0.9102  2 Ge 2.88-3.01
Ge 0.2500 0.8750 0.1250  4 La 2.88
Ge 0.2500 0.3750 0.6250  4 La 2.88
La 0.9524 0.5816 0.1714  2 Ge 2.88-3.01
Al 0.8750 0.1250 0.2500  8 La 3.33-3.43
La 0.1293 0.7190 0.5476  2 Ge 2.88-3.01
La 0.5816 0.6293 0.4102  2 Ge 2.88-3.01
La 0.4524 0.7810 0.8707  2 Ge 2.88-3.01
La 0.3286 0.5476 0.4184  2 Ge 2.88-3.01
La 0.9524 0.3707 0.2810  2 Ge 2.88-3.01
Ge 0.5000 0.0000 0.5000  6 La 3.01
La 0.7190 0.1293 0.0476  2 Ge 2.88-3.01
Ge 0.3750 0.1250 0.7500  4 La 2.88
Ge 0.8750 0.6250 0.7500  4 La 2.88
Ge 0.1250 0.3750 0.2500  4 La 2.88
Ge 0.5000 0.0000 0.0000  6 La 3.01
La 0.5476 0.2190 0.1293  2 Ge 2.88-3.01
La 0.1714 0.0816 0.9524  2 Ge 2.88-3.01
La 0.9102 0.8286 0.7810  2 Ge 2.88-3.01
Ge 0.3750 0.2500 0.1250  4 La 2.88
Ge 0.1250 0.7500 0.3750  4 La 2.88
La 0.4524 0.6714 0.0816  2 Ge 2.88-3.01
La 0.8286 0.9184 0.0476  2 Ge 2.88-3.01
La 0.7810 0.3286 0.9102  2 Ge 2.88-3.01
La 0.1293 0.4102 0.0816  2 Ge 2.88-3.01
Al 0.8750 0.7500 0.1250  8 La 3.33-3.43
La 0.9184 0.8286 0.5476  2 Ge 2.88-3.01
La 0.6714 0.4524 0.5816  2 Ge 2.88-3.01
La 0.6293 0.0476 0.2190  2 Ge 2.88-3.01
La 0.0816 0.9102 0.1293  2 Ge 2.88-3.01
Al 0.2500 0.6250 0.8750  8 La 3.33-3.43
La 0.4184 0.3707 0.5898  2 Ge 2.88-3.01
Al 0.6250 0.3750 0.7500  8 La 3.33-3.43

***

[2]
An optimized crystal structure of La2AlGe. Source: the Alexandria database, functional PBE.

Values from the calculation:
symmetry: P4/mmm (123)

a = 3.9553 Å, b = 3.9553 Å, c = 6.8337 Å
α = 90.00°, β = 90.00°, γ = 90.00°
Last column: nearest neighbours and their distance in Å.
Atoms (fractional coordinates):
La 0.0000 0.0000 0.2294  1 La 3.14, 4 Ge 3.21, 4 Al 3.35
Al 0.5000 0.5000 0.5000  8 La 3.35, 2 Ge 3.42
La 0.0000 0.0000 0.7706  1 La 3.14, 4 Ge 3.21, 4 Al 3.35
Ge 0.5000 0.5000 0.0000  8 La 3.21, 2 Al 3.42

***

[3]
An optimized crystal structure of La4AlGe3. Source: the Alexandria database, functional PBE.

Values from the calculation:
symmetry: Pmm2 (25)

a = 4.6078 Å, b = 4.1565 Å, c = 11.5220 Å
α = 90.00°, β = 90.00°, γ = 90.00°
Last column: nearest neighbours and their distance in Å.
Atoms (fractional coordinates):
Ge 0.0000 0.5000 0.5771  2 Ge 2.71
Al 0.5000 0.5000 0.0673  2 Ge 2.64
Ge 0.0000 0.0000 0.4267  2 Ge 2.71
La 0.0000 0.5000 0.8575  5 Ge 3.20-3.23, 2 Al 3.34
La 0.0000 0.0000 0.1435  4 Al 3.22, 3 Ge 3.26-3.40
La 0.5000 0.0000 0.6388  7 Ge 3.18-3.36
La 0.5000 0.5000 0.3629  6 Ge 3.19-3.38, 1 Al 3.41
Ge 0.5000 0.0000 0.9262  2 Al 2.64

***

[4]
An optimized crystal structure of La3Al2Ge2. Source: the Alexandria database, functional PBE.

Values from the calculation:
symmetry: C2/m (12)

a = 4.4441 Å, b = 6.0805 Å, c = 8.2171 Å
α = 114.33°, β = 90.00°, γ = 111.43°
Last column: nearest neighbours and their distance in Å.
Atoms (fractional coordinates):
Al 0.8094 0.6187 0.0684  1 Ge 2.51, 2 Al 2.58
La 0.3382 0.6763 0.3810  5 Ge 3.13-3.44, 3 Al 3.30-3.31, 1 La 3.30
La 0.5000 0.0000 0.0000  4 Ge 3.26, 6 Al 3.29-3.31
Al 0.1906 0.3813 0.9316  1 Ge 2.51, 2 Al 2.58
Ge 0.9572 0.9145 0.6893  1 Al 2.51
La 0.6618 0.3237 0.6190  5 Ge 3.13-3.44, 3 Al 3.30-3.31, 1 La 3.30
Ge 0.0428 0.0855 0.3107  1 Al 2.51

***

[5]
An optimized crystal structure of La2Al3Ge. Source: the Alexandria database, functional PBE.

Values from the calculation:
symmetry: P-6m2 (187)

a = 4.3898 Å, b = 4.3898 Å, c = 8.8508 Å
α = 90.00°, β = 90.00°, γ = 120.00°
Last column: nearest neighbours and their distance in Å.
Atoms (fractional coordinates):
Al 0.0000 0.0000 0.5000  3 Al 2.53
La 0.6667 0.3333 0.2493  9 Al 3.36-3.37, 3 Ge 3.36
Ge 0.0000 0.0000 0.0000  3 Al 2.53
La 0.6667 0.3333 0.7507  9 Al 3.36-3.37, 3 Ge 3.36
Al 0.3333 0.6667 0.0000  3 Ge 2.53
Al 0.3333 0.6667 0.5000  3 Al 2.53

***

[6]
An optimized crystal structure of La5AlGe4. Source: the Alexandria database, functional PBE.

Values from the calculation:
symmetry: C2/m (12)

a = 5.5285 Å, b = 7.0189 Å, c = 10.9827 Å
α = 134.45°, β = 104.58°, γ = 90.00°
Last column: nearest neighbours and their distance in Å.
Atoms (fractional coordinates):
La 0.8665 0.7209 0.7330  3 Ge 2.90-3.14, 1 La 3.25
Ge 0.3231 0.8686 0.6461  7 La 3.04-3.31, 1 Al 3.16
La 0.7899 0.9869 0.5798  5 Ge 3.11-3.48, 3 La 3.25-3.32
Al 0.5000 0.0000 0.0000  2 Ge 3.16, 6 La 3.39-3.51
Ge 0.6769 0.1314 0.3539  7 La 3.04-3.31, 1 Al 3.16
Ge 0.9802 0.6319 0.9605  1 Ge 2.53
La 0.5000 0.5000 0.0000  6 Ge 3.04-3.11
Ge 0.0198 0.3681 0.0395  1 Ge 2.53
La 0.1335 0.2791 0.2670  3 Ge 2.90-3.14, 1 La 3.25
La 0.2101 0.0131 0.4202  5 Ge 3.11-3.48, 3 La 3.25-3.32

***

[7]
An optimized crystal structure of La12AlGe5. Source: the Alexandria database, functional PBE.

Values from the calculation:
symmetry: Immm (71)

a = 8.9629 Å, b = 8.9629 Å, c = 8.9629 Å
α = 107.07°, β = 112.11°, γ = 109.27°
Last column: nearest neighbours and their distance in Å.
Atoms (fractional coordinates):
La 0.5572 0.8230 0.7341  4 Ge 3.23-3.32
La 0.1972 0.9489 0.7517  3 Ge 3.19-3.45, 1 Al 3.37
La 0.2879 0.6738 0.9617  3 Ge 3.07-3.13, 1 Al 3.43
La 0.7121 0.3262 0.0383  3 Ge 3.07-3.13, 1 Al 3.43
La 0.8028 0.5545 0.7517  3 Ge 3.19-3.45, 1 Al 3.37
La 0.2879 0.3262 0.6140  3 Ge 3.07-3.13, 1 Al 3.43
La 0.8028 0.0511 0.2483  3 Ge 3.19-3.45, 1 Al 3.37
La 0.4428 0.1770 0.2659  4 Ge 3.23-3.32
La 0.0889 0.8230 0.2659  4 Ge 3.23-3.32
Ge 0.3683 0.3683 0.0000  1 Ge 2.73
Ge 0.6317 0.6317 0.0000  1 Ge 2.73
Al 0.0000 0.5000 0.5000  8 La 3.37-3.43
Ge 0.5000 0.8815 0.3815  1 Ge 2.52
Ge 0.5000 0.1185 0.6185  1 Ge 2.52
Ge 0.0000 0.0000 0.0000  8 La 3.23-3.34
La 0.9111 0.1770 0.7341  4 Ge 3.23-3.32
La 0.1972 0.4455 0.2483  3 Ge 3.19-3.45, 1 Al 3.37
La 0.7121 0.6738 0.3860  3 Ge 3.07-3.13, 1 Al 3.43

***

[8]
An optimized crystal structure of La2AlGe. Source: the Alexandria database, functional PBE.

Values from the calculation:
symmetry: Amm2 (38)

a = 6.2693 Å, b = 6.2693 Å, c = 4.1825 Å
α = 90.00°, β = 90.00°, γ = 137.11°
Last column: nearest neighbours and their distance in Å.
Atoms (fractional coordinates):
La 0.6444 0.3556 0.5000  4 Al 3.23, 3 Ge 3.33-3.40
La 0.3590 0.6410 0.0000  4 Ge 3.21, 3 Al 3.34-3.41
Ge 0.9295 0.0705 0.5000  2 Al 2.64
Al 0.0671 0.9329 0.0000  2 Ge 2.64

***

Number 1: V 36.9 A^3/atom, energy relative to the elements -213 meV/atom, raw total energy -4.89 eV per atom. Number 2: V 26.7 A^3/atom, energy relative to the elements -521 meV/atom, raw total energy -5.08 eV per atom. Number 3: V 27.6 A^3/atom, energy relative to the elements -750 meV/atom, raw total energy -5.41 eV per atom. Number 4: V 26.5 A^3/atom, energy relative to the elements -673 meV/atom, raw total energy -5.17 eV per atom. Number 5: V 24.6 A^3/atom, energy relative to the elements -585 meV/atom, raw total energy -4.87 eV per atom. Number 6: V 28.5 A^3/atom, energy relative to the elements -542 meV/atom, raw total energy -5.23 eV per atom. Number 7: V 30.7 A^3/atom, energy relative to the elements -537 meV/atom, raw total energy -5.31 eV per atom. Number 8: V 28.0 A^3/atom, energy relative to the elements -660 meV/atom, raw total energy -5.21 eV per atom.